1.
The following is a PBE calculation of an optimized crystal structure of Na3RhS, from Alexandria.

```
Na3RhS
1.0
5.228 0.000 0.000
0.000 5.228 0.000
0.000 0.000 5.228
Na Rh S
3 1 1
direct
0.000 0.000 0.500 Na
0.000 0.500 0.000 Na
0.500 0.000 0.000 Na
0.500 0.500 0.500 Rh
0.000 0.000 0.000 S
```

Properties
Raw formation energy: 0.168 eV per atom
Crystal system: cubic
E: -14.60 eV for the cell shown
Magnetization: 1.972 μB/f.u.

2.
The following is a PBE calculation of an optimized crystal structure of CsPdS5, from Alexandria.

```
CsPdS5
1.0
7.040 0.000 0.000
0.004 7.058 0.000
0.147 0.007 8.716
Cs Pd S
2 2 10
direct
0.216 0.250 0.200 Cs
0.784 0.750 0.800 Cs
0.500 0.000 0.500 Pd
0.500 0.500 0.500 Pd
0.221 0.529 0.658 S
0.221 0.972 0.658 S
0.284 0.579 0.873 S
0.284 0.921 0.873 S
0.390 0.750 0.353 S
0.610 0.250 0.647 S
0.716 0.079 0.127 S
0.716 0.421 0.127 S
0.779 0.028 0.342 S
0.779 0.471 0.342 S
```

Properties
Raw formation energy: -0.311 eV per atom
Crystal system: triclinic
E: -57.71 eV for the cell shown
Magnetization: 0.795 μB/f.u.

3.
The following is a PBE calculation of an optimized crystal structure of Sc2TaCd, from Alexandria.

```
Sc2TaCd
1.0
5.304 0.000 0.000
0.000 3.046 0.000
-1.959 0.000 5.221
Sc Ta Cd
2 1 1
direct
0.000 0.000 0.000 Sc
0.000 0.500 0.500 Sc
0.500 0.000 0.500 Ta
0.500 0.500 0.000 Cd
```

Properties
Crystal system: monoclinic
E: -24.75 eV for the cell shown
Magnetization: 0.001 μB/f.u.

4.
The following is a PBE calculation of an optimized crystal structure of Ac2PmAu2, from Alexandria.

```
Ac2PmAu2
1.0
-2.092 3.676 5.239
2.092 -3.676 5.239
2.092 3.676 -5.239
Ac Pm Au
2 1 2
direct
0.196 0.196 0.000 Ac
0.804 0.804 0.000 Ac
0.500 0.000 0.500 Pm
0.208 0.500 0.708 Au
0.792 0.500 0.292 Au
```

Properties
Crystal system: orthorhombic
E: -22.63 eV for the cell shown
Magnetization: 0.000 μB/f.u.

5.
The following is a PBE calculation of an optimized crystal structure of CeZnGa3Ag, from Alexandria.

```
CeZnGa3Ag
1.0
2.869 -6.792 0.000
2.869 6.792 0.000
0.000 0.000 6.486
Ce Zn Ga Ag
2 2 6 2
direct
0.184 0.816 0.750 Ce
0.816 0.184 0.250 Ce
0.398 0.602 0.750 Zn
0.602 0.398 0.250 Zn
0.221 0.221 0.000 Ga
0.221 0.221 0.500 Ga
0.384 0.616 0.250 Ga
0.616 0.384 0.750 Ga
0.779 0.779 0.000 Ga
0.779 0.779 0.500 Ga
0.167 0.833 0.250 Ag
0.833 0.167 0.750 Ag
```

Properties
Crystal system: orthorhombic
E: -39.15 eV for the cell shown
Magnetization: 1.025 μB/f.u.

6.
The following is a PBE calculation of an optimized crystal structure of LaP4Pt, from Alexandria.

```
LaP4Pt
1.0
0.000 3.797 3.797
3.797 0.000 3.797
3.797 3.797 0.000
La P Pt
1 4 1
direct
0.000 0.000 0.000 La
0.174 0.609 0.609 P
0.609 0.174 0.609 P
0.609 0.609 0.174 P
0.609 0.609 0.609 P
0.250 0.250 0.250 Pt
```

Properties
Crystal system: cubic
E: -33.36 eV for the cell shown
Magnetization: 0.000 μB/f.u.

7.
The following is a PBE calculation of an optimized crystal structure of FeCu2Ir, from Alexandria.

```
FeCu2Ir
1.0
2.610 0.000 0.000
0.000 3.818 0.000
0.000 0.000 5.160
Fe Cu Ir
1 2 1
direct
0.000 0.000 0.000 Fe
0.500 0.500 0.245 Cu
0.500 0.500 0.755 Cu
0.000 0.000 0.500 Ir
```

Properties
Crystal system: orthorhombic
E: -24.94 eV for the cell shown
Magnetization: 3.611 μB/f.u.

8.
The following is a PBE calculation of an optimized crystal structure of V3MoSe, from Alexandria.

```
V3MoSe
1.0
4.436 0.000 0.000
0.000 4.436 0.000
0.000 0.000 4.436
V Mo Se
3 1 1
direct
0.000 0.000 0.500 V
0.000 0.500 0.000 V
0.500 0.000 0.000 V
0.500 0.500 0.500 Mo
0.000 0.000 0.000 Se
```

Properties
Raw formation energy: 0.837 eV per atom
Crystal system: cubic
E: -37.49 eV for the cell shown
Magnetization: 1.017 μB/f.u.